Version one
## NaZnW2 (PBE-GGA)

Data for crystalline NaZnW2 at its relaxed geometry.

a = 6.337 Å, b = 6.337 Å, c = 6.337 Å
α = 90.00°, β = 90.00°, γ = 90.00°
Space group Fm-3m (No. 225)
Symmetry-distinct sites (fractional):
Na: 0.000 0.000 0.000 x4
Zn: 0.000 0.000 0.500 x4
W: 0.250 0.250 0.250 x8

Version two
## NaZnW2 (PBE-GGA)

Data for crystalline NaZnW2 at its relaxed geometry.

a = 3.743 Å, b = 3.743 Å, c = 20.633 Å
α = 90.00°, β = 90.00°, γ = 90.00°
Space group I-42d (No. 122)
Symmetry-distinct sites (fractional):
Na: 0.000 0.000 0.000 x4
Zn: 0.000 0.000 0.500 x4
W: 0.240 0.250 0.625 x8

Which is more stable than every other structure shown? version two is more stable than every other one.